#i
TiGa3Se | GGA-PBE | relaxed

Its density of states at the Fermi level is 1.50 states/eV/atom. The calculation puts the total magnetization at 0.0 μB per formula unit.

It has space group Pm-3m (No. 221), with a = 5.0693 Å, b = 5.0693 Å, c = 5.0693 Å, α = 90.00°, β = 90.00° and γ = 90.00°. Symmetry generates all atoms from Ti at (0.0000, 0.0000, 0.0000), Ga at (0.0000, 0.0000, 0.5000) and Se at (0.5000, 0.5000, 0.5000).

***

#ii
TiGa3Se | GGA-PBE | relaxed

Its density of states at the Fermi level is 1.60 states/eV/atom. The calculation puts the total magnetization at 0.0 μB per formula unit.

It has space group Pm-3m (No. 221), with a = 4.9483 Å, b = 4.9483 Å, c = 4.9483 Å, α = 90.00°, β = 90.00° and γ = 90.00°. Symmetry generates all atoms from Ti at (0.0000, 0.0000, 0.0000), Ga at (0.0000, 0.5000, 0.5000) and Se at (0.5000, 0.5000, 0.5000).

***

We find #i to be the most stable, with the next structure 252 meV per atom higher.

***

#i
Ti4GaSe8 | GGA-PBE | relaxed

Its density of states at the Fermi level is 0.56 states/eV/atom. The calculation puts the total magnetization at 2.3 μB per formula unit.

It has space group F-43m (No. 216), with a = 10.5242 Å, b = 10.5242 Å, c = 10.5242 Å, α = 90.00°, β = 90.00° and γ = 90.00°. Symmetry generates all atoms from Ti at (0.1097, 0.1097, 0.1097), Ga at (0.0000, 0.0000, 0.5000), Se at (0.1279, 0.1279, 0.8721) and Se at (0.1350, 0.1350, 0.3650).

***

#ii
Ti4GaSe8 | GGA-PBE | relaxed

Its density of states at the Fermi level is 0.39 states/eV/atom. The calculation puts the total magnetization at 0.0 μB per formula unit.

It has space group R-3m (No. 166, hexagonal axes), with a = 7.1143 Å, b = 7.1143 Å, c = 21.3122 Å, α = 90.00°, β = 90.00° and γ = 120.00°. Symmetry generates all atoms from Ti at (0.0000, 0.0000, 0.0000), Ti at (0.0000, 0.5000, 0.0000), Ga at (0.0000, 0.0000, 0.5000), Se at (0.0000, 0.0000, 0.2611) and Se at (0.0007, 0.5003, 0.7400).

***

We find #i to be the most stable, with the next structure 6 meV per atom higher.

***

#i
TlGa2Se | GGA-PBE | relaxed

Its density of states at the Fermi level is 0.39 states/eV/atom. The calculation puts the total magnetization at 0.0 μB per formula unit.

It has space group I-42d (No. 122), with a = 6.3960 Å, b = 6.3960 Å, c = 11.8266 Å, α = 90.00°, β = 90.00° and γ = 90.00°. Symmetry generates all atoms from Tl at (0.0000, 0.0000, 0.0000), Ga at (0.2292, 0.2500, 0.6250) and Se at (0.0000, 0.0000, 0.5000).

***

#ii
TlGa2Se | GGA-PBE | relaxed

Its density of states at the Fermi level is 0.24 states/eV/atom. The calculation puts the total magnetization at 0.0 μB per formula unit.

It has space group R-3m (No. 166, hexagonal axes), with a = 3.6933 Å, b = 3.6933 Å, c = 28.7847 Å, α = 90.00°, β = 90.00° and γ = 120.00°. Symmetry generates all atoms from Tl at (0.0000, 0.0000, 0.0000), Ga at (0.0000, 0.0000, 0.1069) and Se at (0.0000, 0.0000, 0.5000).

***

We find #ii to be the most stable, with the next structure 39 meV per atom higher.